VASP calculation (PBE) on a relaxed structure of Cs2Tl6PdPb.

For the formation energy, the calculation gives -0.07 eV/atom. The calculation puts the total energy at -2.56 eV/atom.

The structure belongs to space group P-3m1 (No. 164); the cell edges are 7.6780, 7.6780 and 7.0291 Å and the angles 90.00°, 90.00° and 120.00°. The inequivalent atoms are Cs at (0.3333, 0.6667, 0.1702), Tl at (0.1863, 0.3725, 0.6868), Pd at (0.0000, 0.0000, 0.5000) and Pb at (0.0000, 0.0000, 0.0000).